Below is ZrMnNF2 after structural relaxation, with properties calculated at the GGA+U level.

Unit cell a=4.299 b=4.299 c=4.245 alpha=90.00 beta=90.00 gamma=90.00
Last column: magnetic moment on the atom in μB.
Fractional coordinates of all 5 atoms:
N1 0.000 0.000 0.500  0.05
Mn1 0.500 0.500 0.500  4.88
Zr1 0.000 0.000 0.000  0.00
F1 0.000 0.500 0.000  0.04
F2 0.500 0.000 0.000  0.04

Results
The space group is P4/mmm, No. 123. The calculation puts the energy above the most stable polymorph in this dataset at 0 meV per atom. The total energy comes out at -35.645 eV per cell.



Below is ZrMnNF2 after structural relaxation, with properties calculated at the GGA+U level.

Unit cell a=3.878 b=3.878 c=4.433 alpha=90.00 beta=90.00 gamma=90.00
Last column: magnetic moment on the atom in μB.
Fractional coordinates of all 5 atoms:
N1 0.000 0.000 0.500  -0.12
Mn1 0.000 0.000 0.000  4.52
Zr1 0.500 0.500 0.500  0.81
F1 0.000 0.500 0.000  0.08
F2 0.500 0.000 0.000  0.08

Results
The space group is P4/mmm, No. 123. The calculation puts the energy above the most stable polymorph in this dataset at 435 meV per atom. The total energy comes out at -33.471 eV per cell.



Below is Na3Mn4F12 after structural relaxation, with properties calculated at the GGA+U level.

Unit cell a=6.992 b=6.992 c=6.992 alpha=109.47 beta=109.47 gamma=109.47
Last column: magnetic moment on the atom in μB.
Fractional coordinates of all 19 atoms:
Na1 0.500 0.000 0.500  0.00
Na2 0.500 0.500 0.000  0.00
Na3 0.000 0.500 0.500  0.00
Mn1 0.000 0.000 0.500  4.54
Mn2 0.500 0.500 0.500  4.54
Mn3 0.500 0.000 0.000  4.54
Mn4 0.000 0.500 0.000  4.54
F1 0.698 0.490 0.792  0.02
F2 0.302 0.510 0.208  0.02
F3 0.302 0.093 0.792  0.02
F4 0.490 0.792 0.698  0.02
F5 0.792 0.302 0.093  0.02
F6 0.208 0.302 0.510  0.02
F7 0.093 0.792 0.302  0.02
F8 0.208 0.698 0.907  0.02
F9 0.698 0.907 0.208  0.02
F10 0.510 0.208 0.302  0.02
F11 0.792 0.698 0.490  0.02
F12 0.907 0.208 0.698  0.02

Results
The space group is Im-3, No. 204. The total energy comes out at -107.213 eV per cell.



Below is Na3Mn2F7 after structural relaxation, with properties calculated at the GGA+U level.

Unit cell a=4.072 b=4.302 c=10.324 alpha=102.03 beta=90.00 gamma=90.00
Last column: magnetic moment on the atom in μB.
Fractional coordinates of all 12 atoms:
Na1 0.500 0.500 0.000  0.00
Na2 0.500 0.686 0.372  0.00
Na3 0.500 0.314 0.628  0.00
Mn1 0.000 0.895 0.790  4.69
Mn2 0.000 0.105 0.210  4.69
F1 0.000 0.400 0.800  0.04
F2 0.000 0.793 0.586  0.03
F3 0.000 0.000 0.000  0.04
F4 0.000 0.600 0.200  0.04
F5 0.500 0.105 0.210  0.05
F6 0.500 0.895 0.790  0.05
F7 0.000 0.207 0.414  0.03

Results
The space group is Cmmm, No. 65. The total energy comes out at -62.670 eV per cell.



Below is Na2MnF8 after structural relaxation, with properties calculated at the GGA+U level.

Unit cell a=5.028 b=6.428 c=6.428 alpha=65.87 beta=61.51 gamma=61.51
Last column: magnetic moment on the atom in μB.
Fractional coordinates of all 11 atoms:
Na1 0.019 0.308 0.308  0.00
Na2 0.981 0.692 0.692  0.00
Mn1 0.000 0.000 0.000  2.80
F1 0.017 0.057 0.691  0.00
F2 0.983 0.309 0.943  0.00
F3 0.561 0.109 0.109  -0.11
F4 0.439 0.891 0.891  -0.11
F5 0.017 0.691 0.057  0.00
F6 0.983 0.943 0.309  0.00
F7 0.442 0.431 0.431  0.65
F8 0.558 0.569 0.569  0.65

Results
The space group is C2/m, No. 12. The total energy comes out at -46.813 eV per cell.



Below is Na2MnF5 after structural relaxation, with properties calculated at the GGA+U level.

Unit cell a=5.426 b=6.395 c=7.819 alpha=111.49 beta=90.00 gamma=115.10
Last column: magnetic moment on the atom in μB.
Fractional coordinates of all 16 atoms:
Na1 0.634 0.275 0.257  0.00
Na2 0.360 0.725 0.243  0.00
Na3 0.640 0.275 0.757  0.00
Na4 0.366 0.725 0.743  0.00
Mn1 0.000 0.000 0.000  3.85
Mn2 0.000 0.000 0.500  3.85
F1 0.027 0.324 0.135  -0.01
F2 0.777 0.147 0.463  0.00
F3 0.371 0.147 0.963  0.00
F4 0.703 0.676 0.365  -0.01
F5 0.297 0.324 0.635  -0.01
F6 0.176 0.000 0.250  0.08
F7 0.629 0.853 0.037  0.00
F8 0.223 0.853 0.537  0.00
F9 0.973 0.676 0.865  -0.01
F10 0.824 0.000 0.750  0.08

Results
The space group is C2/c, No. 15. The total energy comes out at -81.696 eV per cell.



Below is NaMn3F10 after structural relaxation, with properties calculated at the GGA+U level.

Unit cell a=10.425 b=8.818 c=7.668 alpha=78.10 beta=55.86 gamma=46.03
Last column: magnetic moment on the atom in μB.
Fractional coordinates of all 28 atoms:
Na1 0.994 0.006 0.006  0.00
Na2 0.244 0.256 0.256  0.00
Mn1 0.494 0.506 0.506  3.91
Mn2 0.744 0.756 0.756  3.91
Mn3 0.743 0.756 0.257  3.87
Mn4 0.244 0.257 0.756  3.87
Mn5 0.993 0.006 0.507  3.87
Mn6 0.494 0.507 0.006  3.87
F1 0.855 0.871 0.144  0.00
F2 0.129 0.144 0.871  0.00
F3 0.106 0.121 0.395  0.00
F4 0.379 0.395 0.121  0.00
F5 0.790 0.209 0.805  0.00
F6 0.196 0.805 0.209  0.00
F7 0.445 0.054 0.460  0.00
F8 0.041 0.460 0.054  0.00
F9 0.464 0.039 0.841  0.01
F10 0.657 0.841 0.039  0.01
F11 0.409 0.593 0.786  0.01
F12 0.211 0.786 0.593  0.01
F13 0.361 0.373 0.639  0.02
F14 0.627 0.639 0.373  0.02
F15 0.611 0.623 0.889  0.02
F16 0.877 0.889 0.623  0.02
F17 0.827 0.670 0.477  0.01
F18 0.026 0.477 0.670  0.01
F19 0.773 0.224 0.423  0.01
F20 0.580 0.423 0.224  0.01

Results
The space group is Fdd2, No. 43. The total energy comes out at -155.518 eV per cell.



Below is Na5Mn3F14 after structural relaxation, with properties calculated at the GGA+U level.

Unit cell a=9.779 b=11.525 c=11.027 alpha=90.00 beta=90.00 gamma=90.00
Last column: magnetic moment on the atom in μB.
Fractional coordinates of all 88 atoms:
Na1 0.623 0.078 0.167  0.00
Na2 0.373 0.217 0.979  0.00
Na3 0.596 0.045 0.534  0.00
Na4 0.855 0.267 0.676  0.00
Na5 0.943 0.211 0.320  0.00
Na6 0.443 0.289 0.680  0.00
Na7 0.355 0.233 0.324  0.00
Na8 0.096 0.455 0.466  0.00
Na9 0.873 0.283 0.021  0.00
Na10 0.123 0.422 0.833  0.00
Na11 0.377 0.578 0.333  0.00
Na12 0.627 0.717 0.521  0.00
Na13 0.404 0.545 0.966  0.00
Na14 0.057 0.711 0.180  0.00
Na15 0.145 0.767 0.824  0.00
Na16 0.645 0.733 0.176  0.00
Na17 0.557 0.789 0.820  0.00
Na18 0.904 0.955 0.034  0.00
Na19 0.127 0.783 0.479  0.00
Na20 0.877 0.922 0.667  0.00
Mn1 0.382 0.873 0.306  3.85
Mn2 0.195 0.071 0.531  3.86
Mn3 0.858 0.944 0.350  3.83
Mn4 0.358 0.556 0.650  3.83
Mn5 0.695 0.429 0.469  3.86
Mn6 0.882 0.627 0.694  3.85
Mn7 0.618 0.373 0.194  3.85
Mn8 0.805 0.571 0.969  3.86
Mn9 0.142 0.444 0.150  3.83
Mn10 0.642 0.056 0.850  3.83
Mn11 0.305 0.929 0.031  3.86
Mn12 0.118 0.127 0.806  3.85
F1 0.968 0.022 0.236  -0.01
F2 0.994 0.006 0.827  -0.01
F3 0.756 0.093 0.693  0.06
F4 0.748 0.116 0.982  -0.01
F5 0.985 0.257 0.852  0.05
F6 0.255 0.240 0.798  -0.01
F7 0.276 0.997 0.184  0.02
F8 0.369 0.148 0.536  -0.01
F9 0.200 0.079 0.956  0.02
F10 0.468 0.021 0.003  0.01
F11 0.155 0.161 0.395  -0.01
F12 0.062 0.175 0.640  0.04
F13 0.273 0.413 0.614  -0.01
F14 0.548 0.197 0.837  0.00
F15 0.048 0.303 0.163  0.00
F16 0.773 0.087 0.386  -0.01
F17 0.655 0.339 0.605  -0.01
F18 0.562 0.325 0.360  0.04
F19 0.968 0.479 0.997  0.01
F20 0.700 0.421 0.044  0.02
F21 0.869 0.352 0.464  -0.01
F22 0.776 0.503 0.816  0.02
F23 0.755 0.260 0.202  -0.01
F24 0.485 0.243 0.148  0.05
F25 0.248 0.384 0.018  -0.01
F26 0.256 0.407 0.307  0.06
F27 0.468 0.478 0.764  -0.01
F28 0.494 0.494 0.173  -0.01
F29 0.032 0.522 0.264  -0.01
F30 0.006 0.506 0.673  -0.01
F31 0.252 0.616 0.518  -0.01
F32 0.244 0.593 0.807  0.06
F33 0.015 0.757 0.648  0.05
F34 0.724 0.497 0.316  0.02
F35 0.745 0.740 0.702  -0.01
F36 0.631 0.648 0.964  -0.01
F37 0.532 0.521 0.497  0.01
F38 0.800 0.579 0.544  0.02
F39 0.845 0.661 0.105  -0.01
F40 0.938 0.675 0.860  0.04
F41 0.727 0.913 0.886  -0.01
F42 0.452 0.697 0.663  0.00
F43 0.952 0.803 0.337  0.00
F44 0.227 0.587 0.114  -0.01
F45 0.345 0.839 0.895  -0.01
F46 0.438 0.825 0.140  0.04
F47 0.300 0.921 0.456  0.02
F48 0.032 0.979 0.503  0.01
F49 0.131 0.852 0.036  -0.01
F50 0.245 0.760 0.298  -0.01
F51 0.224 0.003 0.684  0.02
F52 0.515 0.743 0.352  0.05
F53 0.744 0.907 0.193  0.06
F54 0.752 0.884 0.482  -0.01
F55 0.506 0.994 0.327  -0.01
F56 0.532 0.978 0.736  -0.01

Results
The space group is P2_12_12_1, No. 19. The calculation puts the energy above the most stable polymorph in this dataset at 26 meV per atom. The total energy comes out at -451.322 eV per cell.



Below is Na5Mn3F14 after structural relaxation, with properties calculated at the GGA+U level.

Unit cell a=7.628 b=12.156 c=12.620 alpha=90.00 beta=90.00 gamma=90.00
Last column: magnetic moment on the atom in μB.
Fractional coordinates of all 88 atoms:
Na1 0.021 0.462 0.022  0.00
Na2 0.178 0.254 0.586  0.00
Na3 0.206 0.734 0.923  0.00
Na4 0.236 0.014 0.258  0.00
Na5 0.229 0.512 0.267  0.00
Na6 0.271 0.988 0.767  0.00
Na7 0.264 0.486 0.758  0.00
Na8 0.294 0.766 0.423  0.00
Na9 0.322 0.246 0.086  0.00
Na10 0.479 0.038 0.522  0.00
Na11 0.521 0.538 0.478  0.00
Na12 0.678 0.746 0.914  0.00
Na13 0.706 0.266 0.577  0.00
Na14 0.729 0.488 0.233  0.00
Na15 0.736 0.986 0.242  0.00
Na16 0.764 0.514 0.742  0.00
Na17 0.771 0.012 0.733  0.00
Na18 0.794 0.234 0.077  0.00
Na19 0.822 0.754 0.414  0.00
Na20 0.979 0.962 0.978  0.00
Mn1 0.994 0.509 0.496  3.84
Mn2 0.002 0.756 0.686  3.87
Mn3 0.002 0.751 0.162  3.85
Mn4 0.498 0.749 0.662  3.85
Mn5 0.498 0.744 0.186  3.87
Mn6 0.506 0.991 0.996  3.84
Mn7 0.494 0.491 0.004  3.84
Mn8 0.502 0.244 0.814  3.87
Mn9 0.502 0.249 0.338  3.85
Mn10 0.998 0.251 0.838  3.85
Mn11 0.998 0.256 0.314  3.87
Mn12 0.006 0.009 0.504  3.84
F1 0.023 0.908 0.159  -0.01
F2 0.981 0.593 0.159  -0.01
F3 0.043 0.855 0.801  0.00
F4 0.070 0.636 0.770  -0.01
F5 0.064 0.261 0.984  -0.01
F6 0.063 0.162 0.432  0.03
F7 0.080 0.377 0.394  0.01
F8 0.079 0.745 0.303  -0.01
F9 0.158 0.061 0.612  -0.01
F10 0.132 0.443 0.602  -0.01
F11 0.200 0.575 0.440  -0.01
F12 0.210 0.952 0.438  -0.01
F13 0.240 0.774 0.607  0.09
F14 0.246 0.277 0.762  0.08
F15 0.254 0.223 0.262  0.08
F16 0.260 0.726 0.107  0.09
F17 0.300 0.925 0.940  -0.01
F18 0.290 0.548 0.938  -0.01
F19 0.368 0.057 0.102  -0.01
F20 0.342 0.439 0.112  -0.01
F21 0.421 0.755 0.803  -0.01
F22 0.420 0.123 0.894  0.01
F23 0.437 0.338 0.932  0.03
F24 0.436 0.239 0.484  -0.01
F25 0.430 0.864 0.270  -0.01
F26 0.457 0.645 0.301  0.00
F27 0.477 0.592 0.659  -0.01
F28 0.519 0.907 0.659  -0.01
F29 0.523 0.092 0.341  -0.01
F30 0.481 0.407 0.341  -0.01
F31 0.570 0.364 0.730  -0.01
F32 0.543 0.145 0.699  0.00
F33 0.564 0.739 0.516  -0.01
F34 0.580 0.623 0.106  0.01
F35 0.563 0.838 0.068  0.03
F36 0.579 0.255 0.197  -0.01
F37 0.632 0.557 0.898  -0.01
F38 0.658 0.939 0.888  -0.01
F39 0.700 0.425 0.060  -0.01
F40 0.710 0.048 0.062  -0.01
F41 0.740 0.226 0.893  0.09
F42 0.746 0.723 0.738  0.08
F43 0.754 0.777 0.238  0.08
F44 0.760 0.274 0.393  0.09
F45 0.800 0.075 0.560  -0.01
F46 0.790 0.452 0.562  -0.01
F47 0.842 0.561 0.388  -0.01
F48 0.868 0.943 0.398  -0.01
F49 0.921 0.245 0.697  -0.01
F50 0.937 0.662 0.568  0.03
F51 0.920 0.877 0.606  0.01
F52 0.936 0.761 0.016  -0.01
F53 0.957 0.355 0.199  0.00
F54 0.930 0.136 0.230  -0.01
F55 0.019 0.093 0.841  -0.01
F56 0.977 0.408 0.841  -0.01

Results
The space group is P2_12_12_1, No. 19. The calculation puts the energy above the most stable polymorph in this dataset at 0 meV per atom. The total energy comes out at -453.648 eV per cell.



Below is NaMn2F7 after structural relaxation, with properties calculated at the GGA+U level.

Unit cell a=3.255 b=4.796 c=10.481 alpha=63.42 beta=82.09 gamma=75.77
Last column: magnetic moment on the atom in μB.
Fractional coordinates of all 10 atoms:
Na1 0.500 0.500 0.500  0.00
Mn1 0.063 0.042 0.807  3.87
Mn2 0.937 0.958 0.193  3.87
F1 0.707 0.755 0.853  0.02
F2 0.603 0.647 0.246  0.01
F3 0.000 0.000 0.000  0.01
F4 0.293 0.245 0.147  0.02
F5 0.087 0.128 0.614  -0.01
F6 0.913 0.872 0.386  -0.01
F7 0.397 0.353 0.754  0.01

Results
The space group is P-1, No. 2. The total energy comes out at -54.200 eV per cell.



Below is Na5MnF8 after structural relaxation, with properties calculated at the GGA+U level.

Unit cell a=6.659 b=6.659 c=6.659 alpha=60.00 beta=60.00 gamma=60.00
Last column: magnetic moment on the atom in μB.
Fractional coordinates of all 14 atoms:
Na1 0.000 0.000 0.000  0.00
Na2 0.629 0.629 0.114  0.00
Na3 0.629 0.629 0.629  0.00
Na4 0.114 0.629 0.629  0.00
Na5 0.629 0.114 0.629  0.00
Mn1 0.250 0.250 0.250  4.31
F1 0.370 0.889 0.370  -0.01
F2 0.889 0.370 0.370  -0.01
F3 0.370 0.370 0.370  -0.01
F4 0.370 0.370 0.889  -0.01
F5 0.867 0.867 0.400  0.13
F6 0.400 0.867 0.867  0.13
F7 0.867 0.867 0.867  0.13
F8 0.867 0.400 0.867  0.13

Results
The space group is F-43m, No. 216. The total energy comes out at -64.004 eV per cell.



Below is Na2Mn4F9 after structural relaxation, with properties calculated at the GGA+U level.

Unit cell a=5.729 b=5.729 c=14.899 alpha=89.99 beta=90.00 gamma=60.00
Last column: magnetic moment on the atom in μB.
Fractional coordinates of all 30 atoms:
Na1 0.000 0.000 0.356  0.01
Na2 0.000 0.000 0.144  0.01
Na3 0.000 0.000 0.644  0.01
Na4 0.000 0.000 0.856  0.01
Mn1 0.333 0.333 0.974  4.73
Mn2 0.333 0.333 0.474  4.73
Mn3 0.667 0.667 0.026  4.73
Mn4 0.333 0.333 0.190  4.73
Mn5 0.667 0.667 0.526  4.73
Mn6 0.666 0.667 0.310  4.73
Mn7 0.334 0.333 0.690  4.73
Mn8 0.667 0.667 0.810  4.73
F1 0.001 0.320 0.750  0.05
F2 0.320 0.680 0.750  0.05
F3 0.681 0.000 0.750  0.05
F4 0.999 0.680 0.250  0.05
F5 0.680 0.320 0.250  0.05
F6 0.319 0.000 0.250  0.05
F7 0.649 0.959 0.419  0.06
F8 0.959 0.392 0.419  0.06
F9 0.391 0.649 0.419  0.06
F10 0.608 0.041 0.081  0.06
F11 0.351 0.608 0.081  0.06
F12 0.041 0.351 0.081  0.06
F13 0.351 0.041 0.581  0.06
F14 0.041 0.608 0.581  0.06
F15 0.609 0.351 0.581  0.06
F16 0.392 0.959 0.919  0.06
F17 0.649 0.392 0.919  0.06
F18 0.959 0.649 0.919  0.06

Results
The space group is P-3c1, No. 165. The total energy comes out at -173.566 eV per cell.